LiAcSi2Au5 | PBE-GGA | optimized geometry

Calculated values
ΔE_f (raw), kcal/mol of atoms: -8.6
Total moment, μB/atom: 0.000

abc: 4.593 4.593 9.402
angles: 90.00 90.00 90.00
Fractional coordinates of all 9 atoms:
Li  0.000  0.000  0.000
Ac  0.000  0.000  0.500
Si  0.500  0.500  0.246
Si  0.500  0.500  0.754
Au  0.000  0.500  0.161
Au  0.000  0.500  0.839
Au  0.500  0.000  0.161
Au  0.500  0.000  0.839
Au  0.500  0.500  0.500